[1]
Computed, not measured: a relaxed structure of PuZn2Au3 at the PBE-GGA level of DFT.

```
12
Lattice="5.7639 0.0000 0.0000 -2.8819 4.9917 0.0000 0.0000 0.0000 8.2804" Properties=species:S:1:pos:R:3 pbc="T T T"
Pu 0.0000 0.0000 0.0000
Pu 0.0000 0.0000 4.1402
Zn 0.0000 3.3278 0.0000
Zn 0.0000 3.3278 4.1402
Zn 2.8819 1.6639 0.0000
Zn 2.8819 1.6639 4.1402
Au -1.2293 2.1293 2.0701
Au -1.6526 2.8624 6.2103
Au 2.4587 0.0000 2.0701
Au 1.2293 2.1293 6.2103
Au 3.3052 0.0000 6.2103
Au 1.6526 2.8624 2.0701
```

Output
As for the energy above the lowest structure with this stoichiometry: 53 meV per atom. The value obtained for the size of the total moment is 5.683 μB/f.u. Its symmetry is P6_3/mcm (193). Its formation energy is -0.263 eV/atom. The final energy is -4.715 eV per atom.

***

[2]
Computed, not measured: a relaxed structure of AgCClO2 at the PBE-GGA level of DFT.

```
10
Lattice="5.2105 0.0000 0.0000 0.0000 5.5360 0.0000 -2.3864 0.0000 7.4325" Properties=species:S:1:pos:R:3 pbc="T T T"
Ag 0.1080 1.3840 3.7037
Ag 2.7160 4.1520 3.7288
C 1.3218 4.1520 0.0034
C 1.5022 1.3840 7.4292
Cl 0.1104 4.1520 3.6509
Cl 2.7136 1.3840 3.7816
O -2.0527 4.1520 6.7989
O 2.3113 4.1520 0.6385
O 0.5127 1.3840 6.7940
O 4.8767 1.3840 0.6336
```

Output
The value obtained for the size of the total moment is 0.000 μB/f.u. Its symmetry is P2_1/m (11). The final energy is -5.680 eV per atom.

***

[3]
Computed, not measured: a relaxed structure of PuGe2S3 at the PBE-GGA level of DFT.

```
12
Lattice="5.5329 0.0000 0.0000 0.0000 4.0271 0.0000 -2.7225 0.0000 13.4262" Properties=species:S:1:pos:R:3 pbc="T T T"
Pu 0.4733 1.0068 3.3776
Pu 2.3371 3.0203 10.0486
Ge -1.3343 1.0068 7.4581
Ge 0.0468 1.0068 12.1645
Ge 2.7636 3.0203 1.2616
Ge 4.1448 3.0203 5.9680
S 0.4460 3.0203 1.5350
S -0.3712 3.0203 10.6344
S 0.8103 3.0203 5.1961
S 2.0002 1.0068 8.2301
S 3.1817 1.0068 2.7918
S 2.3644 1.0068 11.8912
```

Output
The value obtained for the size of the total moment is 4.815 μB/f.u. Its symmetry is P2_1/m (11). The final energy is -6.686 eV per atom.

***

[4]
Computed, not measured: a relaxed structure of CsBe2Sb2 at the PBE-GGA level of DFT.

```
10
Lattice="9.2732 0.0000 0.0000 0.0000 9.2732 0.0000 0.0000 0.0000 3.6381" Properties=species:S:1:pos:R:3 pbc="T T T"
Cs 0.0000 0.0000 0.0000
Cs 4.6366 4.6366 0.0000
Be 0.7571 3.8795 1.8190
Be 3.8795 8.5161 1.8190
Be 5.3937 0.7571 1.8190
Be 8.5161 5.3937 1.8190
Sb 1.1019 5.7385 0.0000
Sb 3.5347 1.1019 0.0000
Sb 5.7385 8.1713 0.0000
Sb 8.1713 3.5347 0.0000
```

Output
As for the energy above the lowest structure with this stoichiometry: 539 meV per atom. The value obtained for the size of the total moment is 0.000 μB/f.u. Its symmetry is P4/mbm (127). The final energy is -2.870 eV per atom.

***

[5]
Computed, not measured: a relaxed structure of SrMnN2 at the PBE-GGA level of DFT.

```
16
Lattice="5.9475 0.0000 0.0000 0.0000 7.5427 0.0000 -2.3358 0.0000 5.2764" Properties=species:S:1:pos:R:3 pbc="T T T"
Sr 0.3217 0.5534 1.6966
Sr -0.8462 3.2179 4.3348
Sr 4.4580 4.3248 0.9417
Sr 3.2901 6.9893 3.5799
Mn 1.4028 4.7865 2.1969
Mn 0.2349 6.5276 4.8351
Mn 3.3769 1.0151 0.4413
Mn 2.2090 2.7562 3.0796
N -0.5763 0.6331 4.8283
N 0.5916 3.1382 2.1901
N 1.7330 5.3424 0.5589
N 0.5651 5.9716 3.1971
N 3.0466 1.5711 2.0793
N 1.8787 2.2003 4.7175
N 3.0201 4.4045 3.0863
N 4.1880 6.9096 0.4481
```

Output
The value obtained for the size of the total moment is 0.763 μB/f.u. Its symmetry is P2_1/c (14). The final energy is -7.558 eV per atom.

***

[6]
Computed, not measured: a relaxed structure of TbDy3Ho5 at the PBE-GGA level of DFT.

```
18
Lattice="-3.5841 8.6398 4.5890 3.5841 -8.6398 4.5890 3.5841 8.6398 -4.5890" Properties=species:S:1:pos:R:3 pbc="T T T"
Tb 0.0000 4.3199 0.4669
Tb 3.5841 4.3199 4.1221
Dy 1.7921 4.3199 -2.2945
Dy 1.7921 -4.3199 2.2945
Dy 3.5841 -1.0935 2.2811
Dy 3.5841 7.5463 -2.2811
Dy 0.0000 1.0935 6.8701
Dy 0.0000 9.7333 2.3079
Ho 1.7770 1.5147 0.6347
Ho 5.3913 1.5147 0.6347
Ho 3.5841 4.3199 0.8204
Ho 1.7770 7.1250 0.6347
Ho 1.8071 -1.5147 5.2238
Ho 1.7770 10.1545 -0.6347
Ho 1.8071 1.5147 3.9543
Ho 0.0000 4.3199 3.7686
Ho -1.8071 7.1250 3.9543
Ho 1.8071 7.1250 3.9543
```

Output
As for the energy above the lowest structure with this stoichiometry: 0 meV per atom. The value obtained for the size of the total moment is 0.002 μB/f.u. Its symmetry is Imma (74). Its formation energy is 0.135 eV/atom. The final energy is -4.457 eV per atom.

***

[7]
Computed, not measured: a relaxed structure of LaHo4Er at the PBE-GGA level of DFT.

```
6
Lattice="0.0000 4.6623 4.6623 4.6623 0.0000 4.6623 4.6623 4.6623 0.0000" Properties=species:S:1:pos:R:3 pbc="T T T"
La 0.0000 0.0000 0.0000
Ho 3.5019 3.5019 3.5019
Ho 5.8226 5.8226 3.5019
Ho 5.8226 3.5019 5.8226
Ho 3.5019 5.8226 5.8226
Er 6.9934 6.9934 6.9934
```

Output
As for the energy above the lowest structure with this stoichiometry: 70 meV per atom. The value obtained for the size of the total moment is 1.003 μB/f.u. Its symmetry is F-43m (216). Its formation energy is 0.272 eV/atom. The final energy is -4.362 eV per atom.

***

[8]
Computed, not measured: a relaxed structure of Nd8C3Br4O at the PBE-GGA level of DFT.

```
16
Lattice="6.5798 -3.7787 0.0000 6.5798 3.7787 0.0000 -4.3877 0.0000 7.4108" Properties=species:S:1:pos:R:3 pbc="T T T"
Nd 3.2851 1.8951 5.0457
Nd -0.0001 0.0000 5.0705
Nd 2.1855 0.0000 2.3622
Nd 5.4868 1.8951 2.3651
Nd 3.2851 -1.8951 5.0457
Nd 6.5864 0.0000 5.0486
Nd 8.7719 0.0000 2.3403
Nd 5.4868 -1.8951 2.3651
C -2.1938 0.0000 3.7054
C 1.0961 1.8893 3.7054
C 1.0961 -1.8893 3.7054
Br 0.0000 0.0000 0.0000
Br 3.2899 1.8893 0.0000
Br 3.2899 -1.8893 0.0000
Br 6.5798 0.0000 0.0000
O 4.3859 0.0000 3.7054
```

Output
The value obtained for the size of the total moment is 0.000 μB/f.u. Its symmetry is C2/m (12). The final energy is -6.009 eV per atom.

***

[9]
Computed, not measured: a relaxed structure of MgPbO2F at the PBE-GGA level of DFT.

```
5
Lattice="4.0754 0.0000 0.0000 0.0000 4.0754 0.0000 0.0000 0.0000 3.9071" Properties=species:S:1:pos:R:3 pbc="T T T"
Mg 0.0000 0.0000 0.0000
Pb 2.0377 2.0377 1.9536
O 0.0000 2.0377 0.0000
O 2.0377 0.0000 0.0000
F 0.0000 0.0000 1.9536
```

Output
The value obtained for the size of the total moment is 0.979 μB/f.u. Its symmetry is P4/mmm (123). The final energy is -5.205 eV per atom.

***

[10]
Computed, not measured: a relaxed structure of TlOsN2 at the PBE-GGA level of DFT.

```
16
Lattice="5.7650 0.0000 0.0000 0.0000 5.7650 0.0000 0.0000 0.0000 5.7650" Properties=species:S:1:pos:R:3 pbc="T T T"
Tl 0.0000 0.0000 0.0000
Tl 0.0000 2.8825 2.8825
Tl 2.8825 0.0000 2.8825
Tl 2.8825 2.8825 0.0000
Os 0.0000 0.0000 2.8825
Os 0.0000 2.8825 0.0000
Os 2.8825 0.0000 0.0000
Os 2.8825 2.8825 2.8825
N 1.4412 1.4412 1.4412
N 1.4412 1.4412 4.3237
N 1.4412 4.3237 1.4412
N 1.4412 4.3237 4.3237
N 4.3237 1.4412 1.4412
N 4.3237 1.4412 4.3237
N 4.3237 4.3237 1.4412
N 4.3237 4.3237 4.3237
```

Output
As for the energy above the lowest structure with this stoichiometry: 1416 meV per atom. The value obtained for the size of the total moment is 0.000 μB/f.u. Its symmetry is Fm-3m (225). The final energy is -5.661 eV per atom.

***

[11]
Computed, not measured: a relaxed structure of BiRhI2O at the PBE-GGA level of DFT.

```
5
Lattice="6.1814 0.0000 0.0000 0.0000 6.1814 0.0000 0.0000 0.0000 4.2580" Properties=species:S:1:pos:R:3 pbc="T T T"
Bi 0.0000 0.0000 0.0000
Rh 3.0907 3.0907 2.1290
I 0.0000 3.0907 0.0000
I 3.0907 0.0000 0.0000
O 0.0000 0.0000 2.1290
```

Output
As for the energy above the lowest structure with this stoichiometry: 497 meV per atom. The value obtained for the size of the total moment is 1.596 μB/f.u. Its symmetry is P4/mmm (123). The final energy is -3.416 eV per atom.

***

[12]
Computed, not measured: a relaxed structure of Ho3Al5O12 at the PBE-GGA level of DFT.

```
80
Lattice="-6.0383 6.0383 6.0383 6.0383 -6.0383 6.0383 6.0383 6.0383 -6.0383" Properties=species:S:1:pos:R:3 pbc="T T T"
Ho 3.0192 1.5096 0.0000
Ho 6.0383 3.0192 -1.5096
Ho 1.5096 0.0000 3.0192
Ho 7.5479 0.0000 3.0192
Ho 0.0000 3.0192 1.5096
Ho 3.0192 -1.5096 6.0383
Ho 3.0192 7.5479 0.0000
Ho 6.0383 3.0192 4.5287
Ho -1.5096 6.0383 3.0192
Ho 4.5287 6.0383 3.0192
Ho 0.0000 3.0192 7.5479
Ho 3.0192 4.5287 6.0383
Al 0.0000 0.0000 0.0000
Al 3.0192 3.0192 -3.0192
Al 3.0192 -3.0192 3.0192
Al 6.0383 0.0000 0.0000
Al 9.0575 1.5096 0.0000
Al 6.0383 -3.0192 4.5287
Al 4.5287 6.0383 -3.0192
Al 4.5287 0.0000 3.0192
Al 3.0192 4.5287 0.0000
Al 6.0383 3.0192 1.5096
Al -3.0192 3.0192 3.0192
Al 0.0000 6.0383 0.0000
Al 0.0000 0.0000 6.0383
Al 3.0192 3.0192 3.0192
Al 0.0000 3.0192 4.5287
Al 3.0192 1.5096 6.0383
Al 1.5096 6.0383 3.0192
Al 1.5096 0.0000 9.0575
Al 0.0000 9.0575 1.5096
Al -3.0192 4.5287 6.0383
O 1.8023 -0.3631 0.6162
O 7.2552 3.6354 -3.3823
O 7.8406 0.3631 0.6162
O 7.2552 -2.4030 3.3823
O 5.6752 -0.6162 1.8023
O 9.4206 -1.2169 2.4030
O 0.6162 1.8023 -0.3631
O 8.4413 2.6561 -1.2169
O 3.6354 3.3823 -1.2169
O 5.4221 1.8023 0.3631
O -0.3631 0.6162 1.8023
O 3.3823 -1.2169 3.6354
O 5.6752 5.4221 -1.8023
O 3.3823 1.2169 2.4030
O 3.6354 -3.3823 7.2552
O 5.4221 -1.8023 5.6752
O 2.4030 3.3823 1.2169
O 6.6545 4.2360 0.3631
O 3.3823 7.2552 -2.4030
O 5.6752 0.6162 4.2360
O 1.8023 5.6752 -0.6162
O 7.2552 2.4030 2.6561
O 1.2169 2.4030 3.3823
O 1.8023 0.3631 5.4221
O 4.2360 5.6752 0.6162
O 4.8214 3.6354 2.6561
O -1.2169 3.6354 3.3823
O 4.2360 0.3631 6.6545
O 0.3631 5.4221 1.8023
O 2.6561 -1.2169 8.4413
O -0.6162 1.8023 5.6752
O 3.6354 2.6561 4.8214
O 0.6162 7.8406 0.3631
O 2.4030 9.4206 -1.2169
O 2.6561 4.8214 3.6354
O 0.3631 0.6162 7.8406
O 2.6561 7.2552 2.4030
O 6.4014 5.4221 4.2360
O 0.6162 4.2360 5.6752
O 2.4030 2.6561 7.2552
O -2.4030 3.3823 7.2552
O 5.4221 4.2360 6.4014
O -3.3823 7.2552 3.6354
O 0.3631 6.6545 4.2360
O -1.2169 8.4413 2.6561
O -1.8023 5.6752 5.4221
O -1.2169 2.4030 9.4206
O 4.2360 6.4014 5.4221
```

Output
The value obtained for the size of the total moment is 0.000 μB/f.u. Its symmetry is Ia-3d (230). The final energy is -7.885 eV per atom.

***

[13]
Computed, not measured: a relaxed structure of Ta2Os2Pd at the PBE-GGA level of DFT.

```
10
Lattice="7.4636 0.0000 0.0000 0.0000 7.4636 0.0000 0.0000 0.0000 3.0400" Properties=species:S:1:pos:R:3 pbc="T T T"
Ta 1.1870 2.5448 0.0000
Ta 2.5448 6.2767 0.0000
Ta 4.9188 1.1870 0.0000
Ta 6.2767 4.9188 0.0000
Os 1.0284 4.7602 1.5200
Os 2.7034 1.0284 1.5200
Os 4.7602 6.4352 1.5200
Os 6.4352 2.7034 1.5200
Pd 0.0000 0.0000 1.5200
Pd 3.7318 3.7318 1.5200
```

Output
As for the energy above the lowest structure with this stoichiometry: 0 meV per atom. The value obtained for the size of the total moment is 0.000 μB/f.u. Its symmetry is P4/mbm (127). Its formation energy is -0.111 eV/atom. The final energy is -10.383 eV per atom.

***

[14]
Computed, not measured: a relaxed structure of Ce8Sn2Rh3 at the PBE-GGA level of DFT.

```
13
Lattice="8.5551 -3.4516 0.0000 8.5551 3.4516 0.0000 -2.0113 0.0000 6.2813" Properties=species:S:1:pos:R:3 pbc="T T T"
Ce 0.7235 0.0000 2.6032
Ce 6.7333 1.4643 0.5684
Ce 4.4776 0.0000 2.5991
Ce 8.3656 1.4643 5.7129
Ce 6.7333 -1.4643 0.5684
Ce 10.6212 0.0000 3.6822
Ce 8.3656 -1.4643 5.7129
Ce 14.3754 0.0000 3.6782
Sn 2.3900 0.0000 5.2372
Sn 12.7088 0.0000 1.0441
Rh 0.0000 0.0000 0.0000
Rh 7.5494 1.3341 3.1407
Rh 7.5494 -1.3341 3.1407
```

Output
The value obtained for the size of the total moment is 7.324 μB/f.u. Its symmetry is C2/m (12). Its formation energy is -0.359 eV/atom. The final energy is -6.323 eV per atom.

***

[15]
Computed, not measured: a relaxed structure of Ta2ZnMo at the PBE-GGA level of DFT.

```
4
Lattice="4.4231 0.0000 0.0000 0.0000 4.4231 0.0000 0.0000 0.0000 3.3902" Properties=species:S:1:pos:R:3 pbc="T T T"
Ta 0.0000 2.2116 0.0000
Ta 2.2116 0.0000 0.0000
Zn 0.0000 0.0000 1.6951
Mo 2.2116 2.2116 1.6951
```

Output
The value obtained for the size of the total moment is 0.000 μB/f.u. Its symmetry is P4/mmm (123). Its formation energy is -0.031 eV/atom. The final energy is -8.984 eV per atom.

***

[16]
Computed, not measured: a relaxed structure of SrNpTlI6 at the PBE-GGA level of DFT.

```
18
Lattice="8.2590 0.0000 0.0000 -4.1295 7.1525 0.0000 0.0000 0.0000 15.1681" Properties=species:S:1:pos:R:3 pbc="T T T"
Sr 0.0000 4.7683 3.7920
Sr 4.1295 2.3842 11.3761
Np 0.0000 4.7683 11.3761
Np 4.1295 2.3842 3.7920
Tl 0.0000 0.0000 0.0000
Tl 0.0000 0.0000 7.5840
I -1.3847 2.6290 9.5672
I -2.5450 4.6388 13.1849
I 1.3847 2.6290 13.1849
I -1.1603 7.0371 9.5672
I 2.9691 0.1153 1.9831
I 1.5844 2.5137 5.6009
I 2.5450 4.6388 9.5672
I 1.1603 7.0371 13.1849
I 5.2898 0.1153 5.6009
I 2.7448 4.5235 1.9831
I 6.6745 2.5137 1.9831
I 5.5142 4.5235 5.6009
```

Output
The value obtained for the size of the total moment is 4.000 μB/f.u. Its symmetry is P-31c (163). The final energy is -4.009 eV per atom.

***

[17]
Computed, not measured: a relaxed structure of IrRu3 at the PBE-GGA level of DFT.

```
8
Lattice="3.8316 0.0000 0.0000 0.0000 3.8316 0.0000 0.0000 0.0000 7.6664" Properties=species:S:1:pos:R:3 pbc="T T T"
Ir 0.0000 0.0000 0.0000
Ir 1.9158 1.9158 3.8332
Ru 0.0000 0.0000 3.8332
Ru 0.0000 1.9158 1.9166
Ru 0.0000 1.9158 5.7498
Ru 1.9158 0.0000 1.9166
Ru 1.9158 0.0000 5.7498
Ru 1.9158 1.9158 0.0000
```

Output
The value obtained for the size of the total moment is 0.000 μB/f.u. Its symmetry is I4/mmm (139). Its formation energy is 0.030 eV/atom. The final energy is -9.142 eV per atom.

***

[18]
Computed, not measured: a relaxed structure of Hf2Hg2Bi at the PBE-GGA level of DFT.

```
10
Lattice="7.5561 0.0000 0.0000 0.0000 7.5561 0.0000 0.0000 0.0000 4.2548" Properties=species:S:1:pos:R:3 pbc="T T T"
Hf 1.1199 2.6581 0.0000
Hf 2.6581 6.4361 0.0000
Hf 4.8980 1.1199 0.0000
Hf 6.4361 4.8980 0.0000
Hg 1.1236 4.9016 2.1274
Hg 2.6545 1.1236 2.1274
Hg 4.9016 6.4325 2.1274
Hg 6.4325 2.6545 2.1274
Bi 0.0000 0.0000 0.0000
Bi 3.7780 3.7780 0.0000
```

Output
As for the energy above the lowest structure with this stoichiometry: 0 meV per atom. The value obtained for the size of the total moment is 0.000 μB/f.u. Its symmetry is P4/mbm (127). Its formation energy is 0.065 eV/atom. The final energy is -4.813 eV per atom.

***

[19]
Computed, not measured: a relaxed structure of Fe3Pt3Rh2 at the PBE-GGA level of DFT.

```
16
Lattice="3.7822 0.0000 0.0000 0.0000 3.8816 0.0000 0.0000 0.0000 15.4125" Properties=species:S:1:pos:R:3 pbc="T T T"
Fe 0.0000 0.0000 0.0000
Fe 0.0000 1.9408 1.9612
Fe 0.0000 1.9408 13.4513
Fe 1.8911 0.0000 5.7451
Fe 1.8911 0.0000 9.6674
Fe 1.8911 1.9408 7.7062
Pt 0.0000 0.0000 7.7062
Pt 0.0000 1.9408 5.8070
Pt 0.0000 1.9408 9.6054
Pt 1.8911 0.0000 1.8992
Pt 1.8911 0.0000 13.5133
Pt 1.8911 1.9408 0.0000
Rh 0.0000 0.0000 3.8932
Rh 0.0000 0.0000 11.5193
Rh 1.8911 1.9408 3.8130
Rh 1.8911 1.9408 11.5994
```

Output
The value obtained for the size of the total moment is 10.625 μB/f.u. Its symmetry is Immm (71). Its formation energy is -0.158 eV/atom. The final energy is -7.434 eV per atom.